Entry 1:
The following is a GGA-PBE calculation of a relaxed structure of SrLaRu2, from the Alexandria database.

Results
As for the formation energy from the elements: 0.1756 eV/atom. The symmetry is Imm2.

Geometry as POSCAR:
```
SrLaRu2
1.0
-2.998 5.970 0.711
-4.678 4.042 -2.627
-3.986 -0.485 2.287
Ru La Sr
2 1 1
Direct
0.092 0.092 0.907 Ru
0.682 0.682 0.818 Ru
0.243 0.243 0.257 La
0.482 0.482 0.518 Sr
```

***

Entry 2:
The following is a GGA-PBE calculation of a relaxed structure of Sr2LaRu, from the Alexandria database.

Results
As for the formation energy from the elements: 0.0578 eV/atom. The symmetry is Pm. The energy above the most stable polymorph in this dataset comes out at 16 meV per atom.

Geometry as POSCAR:
```
Sr2LaRu
1.0
-1.531 -2.521 -2.384
3.352 -0.844 -1.260
3.372 -7.947 6.239
Ru Sr La
1 2 1
Direct
0.500 0.710 0.726 Ru
0.500 0.262 0.266 Sr
0.000 0.018 0.921 Sr
0.000 0.510 0.587 La
```

***

Entry 3:
The following is a GGA-PBE calculation of a relaxed structure of SrLa2Ru, from the Alexandria database.

Results
As for the formation energy from the elements: 0.4906 eV/atom. The symmetry is C2/m. The energy above the most stable polymorph in this dataset comes out at 668 meV per atom.

Geometry as POSCAR:
```
SrLa2Ru
1.0
-5.140 -3.681 -0.015
3.975 -0.965 -4.821
1.257 -3.275 0.534
Sr Ru La
1 1 2
Direct
0.000 0.500 0.500 Sr
0.500 0.000 0.500 Ru
0.500 0.500 0.000 La
0.000 0.000 0.000 La
```

***

Entry 4:
The following is a GGA-PBE calculation of a relaxed structure of Sr2LaRu, from the Alexandria database.

Results
As for the formation energy from the elements: 0.0574 eV/atom. The symmetry is P4mm. The energy above the most stable polymorph in this dataset comes out at 16 meV per atom.

Geometry as POSCAR:
```
Sr2LaRu
1.0
-0.797 -2.609 2.467
-1.027 -2.256 -2.718
9.696 -3.600 -0.674
Sr La Ru
2 1 1
Direct
0.500 0.500 0.266 Sr
0.000 0.000 0.920 Sr
0.000 0.000 0.589 La
0.500 0.500 0.724 Ru
```

***

Entry 5:
The following is a GGA-PBE calculation of a relaxed structure of SrLa2TaRu, from the Alexandria database.

Results
As for the formation energy from the elements: 1.8906 eV/atom. The symmetry is P4/mmm.

Geometry as POSCAR:
```
SrLa2TaRu
1.0
5.658 0.000 0.000
0.000 4.657 0.000
0.000 0.000 5.658
Ta La Sr Ru
1 2 1 1
Direct
0.500 0.500 0.500 Ta
0.500 0.000 0.000 La
0.000 0.000 0.500 La
0.000 0.000 0.000 Sr
0.000 0.500 0.000 Ru
```

***

Entry 6:
The following is a GGA-PBE calculation of a relaxed structure of Sr2LaTcRu, from the Alexandria database.

Results
As for the formation energy from the elements: 1.6160 eV/atom. The symmetry is P4/mmm.

Geometry as POSCAR:
```
Sr2LaTcRu
1.0
6.018 0.000 0.000
0.000 4.601 0.000
0.000 0.000 6.018
Ru La Sr Tc
1 1 2 1
Direct
0.000 0.500 0.000 Ru
0.000 0.000 0.000 La
0.500 0.000 0.000 Sr
0.000 0.000 0.500 Sr
0.500 0.500 0.500 Tc
```

***

Entry 7:
The following is a GGA-PBE calculation of a relaxed structure of SrLa2TeRu, from the Alexandria database.

Results
The symmetry is P4/mmm. Its uncorrected formation energy is -553 meV per atom.

Geometry as POSCAR:
```
SrLa2TeRu
1.0
-4.291 3.062 -0.450
-2.752 -3.423 2.951
1.645 3.051 5.074
Ru La Sr Te
1 2 1 1
Direct
0.000 0.000 0.000 Ru
0.500 0.000 0.000 La
0.000 0.500 0.000 La
0.000 0.000 0.500 Sr
0.500 0.500 0.500 Te
```

***

Entry 8:
The following is a GGA-PBE calculation of a relaxed structure of Sr2LaTlRu, from the Alexandria database.

Results
As for the formation energy from the elements: -0.0489 eV/atom. The symmetry is P4/mmm.

Geometry as POSCAR:
```
Sr2LaTlRu
1.0
5.952 0.000 0.000
0.000 5.952 0.000
0.000 0.000 5.167
Sr Ru La Tl
2 1 1 1
Direct
0.000 0.500 0.000 Sr
0.500 0.000 0.000 Sr
0.000 0.000 0.000 Ru
0.000 0.000 0.500 La
0.500 0.500 0.500 Tl
```

***

Entry 9:
The following is a GGA-PBE calculation of a relaxed structure of SrLa2TlRu, from the Alexandria database.

Results
As for the formation energy from the elements: -0.1882 eV/atom. The symmetry is P4/mmm. The energy above the most stable polymorph in this dataset comes out at 0 meV per atom.

Geometry as POSCAR:
```
SrLa2TlRu
1.0
-0.362 5.450 0.153
-5.290 -0.388 1.313
1.359 -0.063 5.458
La Tl Sr Ru
2 1 1 1
Direct
0.000 0.500 0.000 La
0.500 0.000 0.000 La
0.000 0.000 0.500 Tl
0.500 0.500 0.500 Sr
0.000 0.000 0.000 Ru
```

***

Entry 10:
The following is a GGA-PBE calculation of a relaxed structure of SrLa2TlRu, from the Alexandria database.

Results
As for the formation energy from the elements: -0.1791 eV/atom. The symmetry is P4/mmm. The energy above the most stable polymorph in this dataset comes out at 9 meV per atom.

Geometry as POSCAR:
```
SrLa2TlRu
1.0
-2.657 -0.291 4.675
-2.281 -4.614 -1.583
4.501 -3.037 2.369
La Tl Sr Ru
2 1 1 1
Direct
0.500 0.000 0.000 La
0.000 0.500 0.000 La
0.500 0.500 0.500 Tl
0.000 0.000 0.500 Sr
0.000 0.000 0.000 Ru
```

***

Entry 11:
The following is a GGA-PBE calculation of a relaxed structure of SrLa2YRu, from the Alexandria database.

Results
As for the formation energy from the elements: -0.1445 eV/atom. The symmetry is P4/mmm. The energy above the most stable polymorph in this dataset comes out at 0 meV per atom.

Geometry as POSCAR:
```
SrLa2YRu
1.0
5.623 0.000 0.000
0.000 5.623 0.000
0.000 0.000 5.679
Sr Ru La Y
1 1 2 1
Direct
0.500 0.500 0.500 Sr
0.000 0.000 0.000 Ru
0.000 0.500 0.000 La
0.500 0.000 0.000 La
0.000 0.000 0.500 Y
```

***

Entry 12:
The following is a GGA-PBE calculation of a relaxed structure of SrLa2YRu, from the Alexandria database.

Results
As for the formation energy from the elements: 0.0559 eV/atom. The symmetry is P4/mmm. The energy above the most stable polymorph in this dataset comes out at 200 meV per atom.

Geometry as POSCAR:
```
SrLa2YRu
1.0
5.442 0.000 0.000
0.000 5.442 0.000
0.000 0.000 6.068
La Ru Y Sr
2 1 1 1
Direct
0.500 0.000 0.000 La
0.000 0.500 0.000 La
0.000 0.000 0.000 Ru
0.500 0.500 0.500 Y
0.000 0.000 0.500 Sr
```

***

Number 1: calculated volume 115.6 Å³/cell, D(E_F) 3.3 states/eV per cell, M_tot 0.0 μB per cell. Number 2: calculated volume 143.6 Å³/cell, D(E_F) 3.2 states/eV per cell, M_tot 0.0 μB per cell. Number 3: calculated volume 114.1 Å³/cell, D(E_F) 4.8 states/eV per cell, M_tot 0.0 μB per cell. Number 4: calculated volume 140.3 Å³/cell, D(E_F) 4.2 states/eV per cell, M_tot 0.0 μB per cell. Number 5: calculated volume 149.1 Å³/cell, D(E_F) 10.4 states/eV per cell, M_tot 0.2 μB per cell. Number 6: calculated volume 166.6 Å³/cell, D(E_F) 9.3 states/eV per cell, M_tot 0.0 μB per cell. Number 7: calculated volume 172.1 Å³/cell, D(E_F) 4.8 states/eV per cell, M_tot 0.0 μB per cell. Number 8: calculated volume 183.1 Å³/cell, D(E_F) 6.0 states/eV per cell, M_tot 0.0 μB per cell. Number 9: calculated volume 168.0 Å³/cell, D(E_F) 3.9 states/eV per cell, M_tot 0.0 μB per cell. Number 10: calculated volume 171.8 Å³/cell, D(E_F) 6.2 states/eV per cell, M_tot 0.0 μB per cell. Number 11: calculated volume 179.5 Å³/cell, D(E_F) 4.7 states/eV per cell, M_tot 0.0 μB per cell. Number 12: calculated volume 179.7 Å³/cell, D(E_F) 5.8 states/eV per cell, M_tot 0.0 μB per cell.